1.
10
Lattice="4.1076 0.1173 0.4091 2.1044 3.4972 0.5917 -0.6833 -1.4602 19.3382" Properties=species:S:1:pos:R:3 comment="PBE In5Hg4Se, relaxed" crystal_system=monoclinic spacegroup=C2/m e_form_raw_ev_per_fu=-0.86 energy_ev_per_atom=-1.924 mass_density_g_cm3=8.748 pbc="T T T"
Hg 1.7634 0.9227 2.2746
Hg 5.3395 2.7836 6.7771
Hg 0.1891 -0.6293 13.5620
Hg 3.7653 1.2317 18.0645
In 1.9830 0.3028 15.8133
In 0.9075 0.0930 8.0692
In 3.5457 1.8515 4.5257
In 4.6212 2.0613 12.2698
In 0.0000 0.0000 0.0000
Se 2.7643 1.0772 10.1695

=====

2.
24
Lattice="-4.0733 -5.2844 -3.5161 5.8103 1.7638 -4.4731 5.9921 -7.1260 9.4022" Properties=species:S:1:pos:R:3 comment="PBE In3Hg2Se, relaxed" crystal_system=orthorhombic spacegroup=Fddd e_form_raw_ev_per_fu=-0.78 energy_ev_per_atom=-2.181 mass_density_g_cm3=8.110 pbc="T T T"
In 3.5007 -5.6489 -4.2001
In 5.9346 -2.7487 2.3112
In 4.0692 -5.1114 5.6286
In 6.7364 -4.3739 -1.3767
In 4.5718 -1.4331 -3.3218
In 0.4009 -0.8126 -1.8439
In 5.1011 -6.7665 1.5995
In 2.7873 -3.7666 -0.2019
In 1.3361 -2.7081 -6.1452
In 3.1532 -9.2052 4.7539
In 8.2585 -5.5760 4.2409
In -0.5252 -5.0791 -2.8469
Se 1.1814 -1.5302 0.9312
Se 5.1541 -2.0311 -0.4639
Se 7.5168 -5.0915 1.3984
Se 6.5478 -9.1165 0.4819
Hg 9.7583 -7.9947 3.1651
Hg 2.5045 -8.5243 1.8214
Hg 4.3064 -6.2133 -1.2848
Hg 5.7498 -7.4475 4.5320
Hg 0.2828 -5.6465 0.0702
Hg 1.9794 -3.1992 -3.1190
Hg 3.4228 -4.4334 2.6979
Hg 2.9127 0.8721 -2.2306

=====

3.
10
Lattice="-2.0280 -5.3821 5.7880 7.5561 -3.0727 -0.2097 1.0827 2.4794 2.6849" Properties=species:S:1:pos:R:3 comment="PBE In2HgSe2, relaxed" crystal_system=tetragonal spacegroup=P4/mbm e_form_raw_ev_per_fu=-0.99 de_polymorph_mev_per_atom=102 energy_ev_per_atom=-2.748 mass_density_g_cm3=7.697 pbc="T T T"
Se 0.9513 -1.1082 3.3453
Se 1.4701 -4.4225 6.1968
Se 5.6595 -4.8672 4.9179
Se 5.1408 -1.5528 2.0664
Hg 0.0000 0.0000 0.0000
Hg 2.7640 -4.2274 2.7892
In -0.1787 -3.9686 3.7369
In 2.3298 -1.8853 0.8015
In 5.7068 -4.4862 1.8414
In 3.1983 -6.5694 4.7769

=====

4.
16
Lattice="6.2568 0.0000 0.0000 0.0000 9.7404 0.0000 0.0000 0.0000 8.3597" Properties=species:S:1:pos:R:3 comment="PBE In3HgSe4, relaxed" crystal_system=orthorhombic spacegroup=Pmn2_1 e_form_raw_ev_per_fu=-2.57 energy_ev_per_atom=-3.128 mass_density_g_cm3=5.612 pbc="T T T"
Se 3.6882 1.8900 4.1798
Se 0.4472 8.0776 4.1798
Se 0.6035 3.7614 2.0252
Se 3.7319 5.9790 2.1546
Se 3.5756 1.6629 0.0000
Se 0.5598 7.8504 0.0000
Se 0.6035 3.7614 6.3344
Se 3.7319 5.9790 6.2051
Hg 3.4765 8.3353 4.1798
Hg 0.3481 1.4051 0.0000
In 0.1268 6.3336 2.1676
In 0.1268 6.3336 6.1920
In 3.2552 3.4069 6.3475
In 3.2552 3.4069 2.0122
In 3.5366 7.8902 0.0000
In 0.4082 1.8502 4.1798

=====

5.
14
Lattice="7.1484 0.0000 4.1272 2.3828 6.7396 4.1272 0.0000 0.0000 8.2543" Properties=species:S:1:pos:R:3 comment="PBE In5HgSe8, relaxed" crystal_system=cubic spacegroup=F-43m e_form_raw_ev_per_fu=-6.39 energy_ev_per_atom=-3.447 mass_density_g_cm3=5.872 pbc="T T T"
Se 4.9592 5.8287 12.3815
Se 4.7656 5.6956 8.2543
Se 3.6692 2.5945 6.3553
Se 7.1484 2.7326 12.3815
Se 3.6692 2.5945 10.1533
Se 8.2431 5.8287 14.2774
Se 8.2431 5.8287 10.4855
Se 6.9584 2.5945 8.2543
In 0.0000 0.0000 0.0000
In 2.4187 4.1996 8.2543
In 4.7656 0.8805 8.2543
In 5.9391 4.1996 10.2868
In 5.9391 4.1996 6.2218
Hg 2.3828 1.6849 4.1272

=====

6.
8
Lattice="8.1744 0.0000 0.0000 0.0000 8.1744 0.0000 4.0872 4.0872 3.0843" Properties=species:S:1:pos:R:3 comment="PBE InHg2Se, relaxed" crystal_system=tetragonal spacegroup=I-42d e_form_raw_ev_per_fu=-0.28 energy_ev_per_atom=-1.778 mass_density_g_cm3=9.587 pbc="T T T"
Hg 6.1308 6.2242 2.3132
Hg 6.0374 2.0436 0.7711
Hg 10.2180 10.1246 2.3132
Hg 2.1370 6.1308 0.7711
Se 4.0872 8.1744 1.5422
Se 4.0872 4.0872 0.0000
In 8.1744 4.0872 1.5422
In 0.0000 0.0000 0.0000

=====

7.
4
Lattice="-1.1329 -4.0954 2.5981 4.8401 -1.1254 0.3365 0.2564 2.1489 3.4991" Properties=species:S:1:pos:R:3 comment="PBE InHg2Se, relaxed" crystal_system=tetragonal spacegroup=P4/mmm e_form_raw_ev_per_fu=0.26 energy_ev_per_atom=-1.641 mass_density_g_cm3=9.680 pbc="T T T"
Se 2.5482 0.5118 1.9178
In -0.4383 -0.9732 3.0486
Hg 0.0000 0.0000 0.0000
Hg 1.8536 -2.6104 1.4673

=====

8.
4
Lattice="5.0937 -0.1899 -0.0299 3.6784 3.5286 -0.0299 2.7141 1.0330 5.7359" Properties=species:S:1:pos:R:3 comment="PBE InHg2Se, relaxed" crystal_system=monoclinic spacegroup=C2/m e_form_raw_ev_per_fu=-0.18 energy_ev_per_atom=-1.752 mass_density_g_cm3=9.195 pbc="T T T"
Se 2.8715 1.0929 1.4190
Hg 5.8253 2.2171 2.8065
Hg 8.6899 3.3073 -0.0284
In 8.6146 3.2787 4.2570

=====

9.
8
Lattice="-5.8333 -5.6381 3.0386 2.6921 -1.3560 2.6520 -0.7208 5.8039 3.6994" Properties=species:S:1:pos:R:3 comment="PBE InHg2Se, relaxed" crystal_system=monoclinic spacegroup=Cm e_form_raw_ev_per_fu=-0.74 energy_ev_per_atom=-1.892 mass_density_g_cm3=8.573 pbc="T T T"
Se -3.3151 -5.1253 3.7836
Se -5.0215 -1.5454 4.3072
In -2.7387 -0.6463 5.4887
In -3.7244 -2.8702 2.3130
Hg -1.2831 4.8978 3.8069
Hg 0.4233 1.3179 3.2832
Hg -2.6394 1.9554 3.6792
Hg -0.9330 -1.6245 3.1555

=====

10.
4
Lattice="3.7481 0.0000 0.0000 0.0000 3.7481 0.0000 0.0000 0.0000 7.9730" Properties=species:S:1:pos:R:3 comment="PBE InHg2Se, relaxed" crystal_system=tetragonal spacegroup=P4mm e_form_raw_ev_per_fu=-0.31 energy_ev_per_atom=-1.785 mass_density_g_cm3=8.821 pbc="T T T"
Hg 1.8740 1.8740 1.9908
Hg 0.0000 0.0000 7.9684
Se 1.8740 1.8740 5.5353
In 0.0000 0.0000 4.4380

=====

11.
9
Lattice="3.9404 0.0000 0.7355 1.4670 7.3319 3.0638 0.2988 1.2920 9.3221" Properties=species:S:1:pos:R:3 comment="PBE In4Hg2Se3, relaxed" crystal_system=monoclinic spacegroup=C2/m e_form_raw_ev_per_fu=-2.53 energy_ev_per_atom=-2.727 mass_density_g_cm3=7.188 pbc="T T T"
Se 3.4930 5.2404 3.1323
Se 0.8829 4.3119 6.1929
Se 2.2132 3.3834 9.9891
In 1.3983 3.4499 3.4318
In 3.0111 6.3248 5.7144
In 2.6951 2.2990 7.4070
In 4.3079 5.1740 9.6895
Hg 3.3313 1.1595 3.9988
Hg 2.3749 7.4644 9.1225

=====

12.
10
Lattice="-3.1536 1.9977 -1.8149 -5.1688 -4.4322 4.1030 3.7394 7.2031 6.1779" Properties=species:S:1:pos:R:3 comment="PBE In2HgSe2, relaxed" crystal_system=monoclinic spacegroup=C2/m e_form_raw_ev_per_fu=-1.41 de_polymorph_mev_per_atom=18 energy_ev_per_atom=-2.832 mass_density_g_cm3=6.271 pbc="T T T"
Hg -2.5935 1.2239 5.8538
Hg -1.9896 3.5447 2.6122
Se 0.1571 4.2627 4.4192
Se -4.7401 0.5059 4.0468
Se -1.3039 -0.6818 1.5152
Se -3.2791 5.4505 6.9508
In -1.3999 3.6737 6.4764
In -3.1831 1.0950 1.9896
In -4.4938 -2.3908 5.1771
In -0.0892 7.1594 3.2889